(1)
The following is a PBE calculation of an optimized crystal structure of TlAg15, from OQMD via LeMat-Bulk.

Unit cell a=8.1247 b=2.9225 c=35.3087 alpha=90.00 beta=90.07 gamma=90.00
Positions (direct):
Ag1 0.6252 0.2500 0.5632
Ag2 0.8751 0.7500 0.6053
Ag3 0.8733 0.7500 0.6898
Ag4 0.3765 0.7500 0.7749
Ag5 0.1249 0.2500 0.4789
Ag6 0.3754 0.7500 0.3525
Ag7 0.3750 0.7500 0.2674
Ag8 0.1279 0.2500 0.2246
Ag9 0.1250 0.2500 0.8139
Ag10 0.6249 0.2500 0.4791
Ag11 0.3748 0.7500 0.4368
Ag12 0.1248 0.2500 0.6472
Ag13 0.3760 0.7500 0.6898
Ag14 0.8758 0.7500 0.2690
Ag15 0.6240 0.2500 0.3102
Ag16 0.6235 0.2500 0.2251
Ag17 0.3751 0.7500 0.5209
Ag18 0.6255 0.2500 0.3948
Ag19 0.1242 0.2500 0.7310
Ag20 0.8752 0.7500 0.3528
Ag21 0.6250 0.2500 0.7326
Ag22 0.6246 0.2500 0.6475
Ag23 0.1267 0.2500 0.3102
Ag24 0.3745 0.7500 0.6052
Ag25 0.8754 0.7500 0.4370
Ag26 0.8750 0.7500 0.1861
Ag27 0.8721 0.7500 0.7754
Ag28 0.1246 0.2500 0.5630
Ag29 0.1249 0.2500 0.3947
Ag30 0.8751 0.7500 0.5211
Tl1 0.6230 0.2500 0.8308
Tl2 0.3770 0.7500 0.1692

Properties
E: -2.730 eV/atom
Space group: P2_1/m (11)

(2)
The following is a PBE calculation of an optimized crystal structure of CsLuZr, from OQMD via LeMat-Bulk.

Unit cell a=5.2242 b=5.2242 c=5.2242 alpha=60.00 beta=60.00 gamma=60.00
Positions (direct):
Cs1 0.0000 0.0000 0.0000
Zr1 0.7500 0.7500 0.7500
Lu1 0.2500 0.2500 0.2500

Properties
E: -2.918 eV/atom
Space group: F-43m (216)

(3)
The following is a PBE calculation of an optimized crystal structure of Gd4Y4Ni13, from OQMD via LeMat-Bulk.

Unit cell a=9.5020 b=9.5020 c=4.5828 alpha=90.00 beta=90.00 gamma=101.73
Positions (direct):
Ni1 0.6884 0.5112 0.0000
Ni2 0.0000 0.0000 0.0000
Ni3 0.9045 0.9045 0.5000
Ni4 0.8858 0.7320 0.0000
Ni5 0.1142 0.2680 0.0000
Ni6 0.5112 0.6884 0.0000
Ni7 0.0955 0.0955 0.5000
Ni8 0.5000 0.0000 0.5000
Ni9 0.0000 0.5000 0.5000
Ni10 0.2680 0.1142 0.0000
Ni11 0.4888 0.3116 0.0000
Ni12 0.7320 0.8858 0.0000
Ni13 0.3116 0.4888 0.0000
Gd1 0.0000 0.5000 0.0000
Gd2 0.8358 0.1642 0.0000
Gd3 0.5000 0.0000 0.0000
Gd4 0.1642 0.8358 0.0000
Y1 0.3003 0.3003 0.5000
Y2 0.6997 0.6997 0.5000
Y3 0.6629 0.3371 0.5000
Y4 0.3371 0.6629 0.5000

Properties
Space group: Cmmm (65)
ΔH_f (0 K): 0.16 eV/atom

(4)
The following is a PBE calculation of an optimized crystal structure of CuTcSbAu, from OQMD via LeMat-Bulk.

Unit cell a=4.5566 b=4.5566 c=4.5566 alpha=60.00 beta=60.00 gamma=60.00
Positions (direct):
Tc1 0.2500 0.2500 0.2500
Sb1 0.0000 0.0000 0.0000
Cu1 0.7500 0.7500 0.7500
Au1 0.5000 0.5000 0.5000

Properties
E: -5.099 eV/atom
Space group: F-43m (216)

(5)
The following is a PBE calculation of an optimized crystal structure of PrAlGaAu2, from OQMD via LeMat-Bulk.

Unit cell a=4.4323 b=4.4323 c=10.6048 alpha=90.00 beta=90.00 gamma=90.00
Positions (direct):
Au1 0.0000 0.5000 0.6257
Au2 0.0000 0.0000 0.0000
Au3 0.5000 0.5000 0.0000
Au4 0.5000 0.0000 0.3743
Al1 0.0000 0.0000 0.5000
Al2 0.5000 0.5000 0.5000
Pr1 0.0000 0.5000 0.2463
Pr2 0.5000 0.0000 0.7537
Ga1 0.5000 0.0000 0.1356
Ga2 0.0000 0.5000 0.8644

Properties
E: -4.330 eV/atom
Space group: P4/nmm (129)

(6)
The following is a PBE calculation of an optimized crystal structure of TmBeCu, from OQMD via LeMat-Bulk.

Unit cell a=4.2837 b=4.2837 c=4.2837 alpha=60.00 beta=60.00 gamma=60.00
Positions (direct):
Tm1 0.7500 0.7500 0.7500
Cu1 0.0000 0.0000 0.0000
Be1 0.2500 0.2500 0.2500

Properties
E: -3.769 eV/atom
Space group: F-43m (216)